# 1
First-principles (PBE) data for crystalline TaCo4Ni at its relaxed geometry, as listed in the Alexandria database.

a = 4.0170 Å, b = 4.0170 Å, c = 5.1122 Å
α = 90.00°, β = 90.00°, γ = 120.00°
Last column: nearest neighbours and their distance in Å.
Atoms (fractional coordinates):
Ta1 0.0000 0.0000 0.0000  2 Ni 2.56, 12 Co 2.69
Co1 0.3333 0.6667 0.2660  4 Co 2.32-2.39
Co2 0.3333 0.6667 0.7340  4 Co 2.32-2.39
Co3 0.6667 0.3333 0.2660  4 Co 2.32-2.39
Co4 0.6667 0.3333 0.7340  4 Co 2.32-2.39
Ni1 0.0000 0.0000 0.5000  2 Ta 2.56, 12 Co 2.61

Results
Relative energy among the computed polymorphs (meV/atom): 32
Volume (Å³ per cell): 71

# 2
First-principles (PBE) data for crystalline Pm2PdO at its relaxed geometry, as listed in the Alexandria database.

a = 6.0788 Å, b = 5.9519 Å, c = 11.3293 Å
α = 90.00°, β = 116.89°, γ = 90.00°
Last column: nearest neighbours and their distance in Å.
Atoms (fractional coordinates):
Pm1 0.0421 0.2418 0.0928  2 O 2.32-2.35
Pm2 0.0421 0.7582 0.5928  2 O 2.32-2.35
Pm3 0.3209 0.2117 0.8529  2 O 2.31-2.43
Pm4 0.3209 0.7883 0.3529  2 O 2.31-2.43
Pm5 0.6791 0.2117 0.6471  2 O 2.31-2.43
Pm6 0.6791 0.7883 0.1471  2 O 2.31-2.43
Pm7 0.9579 0.2418 0.4072  2 O 2.32-2.35
Pm8 0.9579 0.7582 0.9072  2 O 2.32-2.35
Pd1 0.4230 0.3003 0.3598  6 Pm 2.88-3.13, 1 Pd 3.03
Pd2 0.4230 0.6997 0.8598  6 Pm 2.88-3.13, 1 Pd 3.03
Pd3 0.5770 0.3003 0.1402  6 Pm 2.88-3.13, 1 Pd 3.03
Pd4 0.5770 0.6997 0.6402  6 Pm 2.88-3.13, 1 Pd 3.03
O1 0.0314 0.1429 0.6231  4 Pm 2.31-2.43
O2 0.0314 0.8571 0.1231  4 Pm 2.31-2.43
O3 0.9686 0.1429 0.8769  4 Pm 2.31-2.43
O4 0.9686 0.8571 0.3769  4 Pm 2.31-2.43

Results
E_form (uncorrected) (eV per atom): -1.648
Relative energy among the computed polymorphs (meV/atom): 0
Volume (Å³ per cell): 366

# 3
First-principles (PBE) data for crystalline Na2SrIn9 at its relaxed geometry, as listed in the Alexandria database.

a = 10.9919 Å, b = 10.9919 Å, c = 10.9919 Å
α = 33.06°, β = 33.06°, γ = 33.06°
Last column: nearest neighbours and their distance in Å.
Atoms (fractional coordinates):
Na1 0.1421 0.1421 0.1421  12 In 3.58-3.72, 3 Na 3.92
Na2 0.8579 0.8579 0.8579  12 In 3.58-3.72, 3 Na 3.92
Sr1 0.0000 0.0000 0.0000  6 In 3.61
In1 0.0790 0.5898 0.5898  7 In 3.06-3.29
In2 0.3362 0.3362 0.3362  6 In 3.18-3.29
In3 0.4102 0.4102 0.9210  7 In 3.06-3.29
In4 0.4102 0.9210 0.4102  7 In 3.06-3.29
In5 0.5000 0.5000 0.5000  6 In 3.11
In6 0.5898 0.0790 0.5898  7 In 3.06-3.29
In7 0.5898 0.5898 0.0790  7 In 3.06-3.29
In8 0.6638 0.6638 0.6638  6 In 3.18-3.29
In9 0.9210 0.4102 0.4102  7 In 3.06-3.29

Results
E_tot (eV/atom): -2.5432
Volume (Å³ per cell): 352

# 4
First-principles (PBE) data for crystalline VHgS2 at its relaxed geometry, as listed in the Alexandria database.

a = 5.7433 Å, b = 5.7433 Å, c = 5.7433 Å
α = 109.00°, β = 109.00°, γ = 110.42°
Last column: nearest neighbours and their distance in Å.
Atoms (fractional coordinates):
V1 0.2500 0.2500 0.0000  8 S 2.89
V2 0.7500 0.7500 0.0000  8 S 2.89
Hg1 0.2500 0.7500 0.5000  4 S 2.62
Hg2 0.7500 0.2500 0.5000  4 S 2.62
S1 0.2167 0.7167 0.9334  2 Hg 2.62, 4 V 2.89
S2 0.2833 0.2167 0.5000  2 Hg 2.62, 4 V 2.89
S3 0.7167 0.7833 0.5000  2 Hg 2.62, 4 V 2.89
S4 0.7833 0.2833 0.0666  2 Hg 2.62, 4 V 2.89

Results
E_form (uncorrected) (eV per atom): 0.160
Volume (Å³ per cell): 146

# 5
First-principles (PBE) data for crystalline Nd2Ho4ErMg at its relaxed geometry, as listed in the Alexandria database.

a = 4.9611 Å, b = 4.9744 Å, c = 10.0997 Å
α = 90.00°, β = 90.00°, γ = 90.00°
Last column: nearest neighbours and their distance in Å.
Atoms (fractional coordinates):
Nd1 0.0000 0.0000 0.0000  4 Mg 3.51, 8 Ho 3.54
Nd2 0.5000 0.5000 0.5000  4 Er 3.51, 8 Ho 3.54
Ho1 0.0000 0.5000 0.2500  4 Ho 3.51, 2 Mg 3.54, 4 Nd 3.54, 2 Er 3.54
Ho2 0.0000 0.5000 0.7500  4 Ho 3.51, 2 Mg 3.54, 4 Nd 3.54, 2 Er 3.54
Ho3 0.5000 0.0000 0.2499  4 Ho 3.51, 4 Nd 3.54, 2 Er 3.54, 2 Mg 3.54
Ho4 0.5000 0.0000 0.7501  4 Ho 3.51, 4 Nd 3.54, 2 Er 3.54, 2 Mg 3.54
Er1 0.0000 0.0000 0.5000  4 Nd 3.51, 8 Ho 3.54
Mg1 0.5000 0.5000 0.0000  4 Nd 3.51, 8 Ho 3.54

Results
E_tot (eV/atom): -4.2193
Volume (Å³ per cell): 249

# 6
First-principles (PBE) data for crystalline CaAc4Tl3 at its relaxed geometry, as listed in the Alexandria database.

a = 10.4408 Å, b = 10.4408 Å, c = 10.4408 Å
α = 32.69°, β = 32.69°, γ = 32.69°
Last column: nearest neighbours and their distance in Å.
Atoms (fractional coordinates):
Ca1 0.0000 0.0000 0.0000  8 Ac 3.76-3.99, 6 Tl 3.93
Ac1 0.1347 0.1347 0.1347  7 Tl 3.52-3.95, 3 Ac 3.89
Ac2 0.3878 0.3878 0.3878  5 Tl 3.32-3.59
Ac3 0.6122 0.6122 0.6122  5 Tl 3.32-3.59
Ac4 0.8653 0.8653 0.8653  7 Tl 3.52-3.95, 3 Ac 3.89
Tl1 0.2667 0.2667 0.2667  4 Ac 3.41-3.59
Tl2 0.5000 0.5000 0.5000  8 Ac 3.32-3.52
Tl3 0.7333 0.7333 0.7333  4 Ac 3.41-3.59

Results
E_tot (eV/atom): -3.4538
Volume (Å³ per cell): 295

# 7
First-principles (PBE) data for crystalline AcIn4Ni2 at its relaxed geometry, as listed in the Alexandria database.

a = 18.5415 Å, b = 4.4519 Å, c = 7.6126 Å
α = 90.00°, β = 90.00°, γ = 90.00°
Last column: nearest neighbours and their distance in Å.
Atoms (fractional coordinates):
Ac1 0.1234 0.2500 0.0218  10 In 3.39-3.77, 4 Ni 3.44-3.61
Ac2 0.3766 0.7500 0.5218  10 In 3.39-3.77, 4 Ni 3.44-3.61
Ac3 0.6234 0.2500 0.4782  10 In 3.39-3.77, 4 Ni 3.44-3.61
Ac4 0.8766 0.7500 0.9782  10 In 3.39-3.77, 4 Ni 3.44-3.61
In1 0.0331 0.7500 0.7470  2 Ni 2.67
In2 0.0931 0.2500 0.5104  4 Ni 2.65-2.78
In3 0.1875 0.7500 0.3392  4 Ni 2.67-2.85
In4 0.2026 0.7500 0.7321  3 Ni 2.63-2.72
In5 0.2974 0.2500 0.2321  3 Ni 2.63-2.72
In6 0.3125 0.2500 0.8392  4 Ni 2.67-2.85
In7 0.4069 0.7500 0.0104  4 Ni 2.65-2.78
In8 0.4669 0.2500 0.2470  2 Ni 2.67
In9 0.5331 0.7500 0.7530  2 Ni 2.67
In10 0.5931 0.2500 0.9896  4 Ni 2.65-2.78
In11 0.6875 0.7500 0.1608  4 Ni 2.67-2.85
In12 0.7026 0.7500 0.7679  3 Ni 2.63-2.72
In13 0.7974 0.2500 0.2679  3 Ni 2.63-2.72
In14 0.8125 0.2500 0.6608  4 Ni 2.67-2.85
In15 0.9069 0.7500 0.4896  4 Ni 2.65-2.78
In16 0.9669 0.2500 0.2530  2 Ni 2.67
Ni1 0.0395 0.7500 0.3343  6 In 2.67-2.78
Ni2 0.2352 0.2500 0.5430  7 In 2.63-2.85
Ni3 0.2648 0.7500 0.0430  7 In 2.63-2.85
Ni4 0.4605 0.2500 0.8343  6 In 2.67-2.78
Ni5 0.5395 0.7500 0.1657  6 In 2.67-2.78
Ni6 0.7352 0.2500 0.9570  7 In 2.63-2.85
Ni7 0.7648 0.7500 0.4570  7 In 2.63-2.85
Ni8 0.9605 0.2500 0.6657  6 In 2.67-2.78

Results
Relative energy among the computed polymorphs (meV/atom): 0
Volume (Å³ per cell): 628

# 8
First-principles (PBE) data for crystalline InBi2P2Pd7 at its relaxed geometry, as listed in the Alexandria database.

a = 3.9769 Å, b = 3.9769 Å, c = 15.1270 Å
α = 97.51°, β = 97.51°, γ = 90.03°
Last column: nearest neighbours and their distance in Å.
Atoms (fractional coordinates):
In1 0.0000 0.0000 0.0000  12 Pd 2.81-2.92
Bi1 0.2102 0.2102 0.4224  5 Pd 2.87-2.88
Bi2 0.7898 0.7898 0.5776  5 Pd 2.87-2.88
P1 0.3877 0.3877 0.7719  5 Pd 2.32-2.35
P2 0.6123 0.6123 0.2281  5 Pd 2.32-2.35
Pd1 0.0700 0.5697 0.1436  2 P 2.35
Pd2 0.3084 0.3084 0.6160  1 P 2.32
Pd3 0.4303 0.9300 0.8564  2 P 2.35
Pd4 0.5000 0.5000 0.0000  4 In 2.81, 8 Pd 2.91-2.92
Pd5 0.5697 0.0700 0.1436  2 P 2.35
Pd6 0.6916 0.6916 0.3840  1 P 2.32
Pd7 0.9300 0.4303 0.8564  2 P 2.35

Results
E_tot (eV/atom): -5.2076
Volume (Å³ per cell): 235

# 9
First-principles (PBE) data for crystalline K2PtBr at its relaxed geometry, as listed in the Alexandria database.

a = 4.2727 Å, b = 4.2727 Å, c = 9.2154 Å
α = 98.73°, β = 98.73°, γ = 49.61°
Last column: nearest neighbours and their distance in Å.
Atoms (fractional coordinates):
K1 0.2446 0.2446 0.2392  3 Br 3.20, 3 Pt 3.30-3.36
K2 0.7554 0.7554 0.7608  3 Br 3.20, 3 Pt 3.30-3.36
Pt1 0.0000 0.0000 0.5000  6 K 3.30-3.36, 2 Pt 3.58
Br1 0.5000 0.5000 0.0000  6 K 3.20

Results
E_form (uncorrected) (eV per atom): -0.419
Relative energy among the computed polymorphs (meV/atom): 90
Volume (Å³ per cell): 126

# 10
First-principles (PBE) data for crystalline V4GeSe8 at its relaxed geometry, as listed in the Alexandria database.

a = 7.2373 Å, b = 7.2373 Å, c = 7.2373 Å
α = 60.00°, β = 60.00°, γ = 60.00°
Last column: nearest neighbours and their distance in Å.
Atoms (fractional coordinates):
V1 0.1022 0.1022 0.1022  6 Se 2.43-2.70
V2 0.1022 0.1022 0.6934  6 Se 2.43-2.70
V3 0.1022 0.6934 0.1022  6 Se 2.43-2.70
V4 0.6934 0.1022 0.1022  6 Se 2.43-2.70
Ge1 0.5000 0.5000 0.5000  4 Se 2.47
Se1 0.3606 0.3606 0.3606  1 Ge 2.47, 3 V 2.70
Se2 0.3606 0.3606 0.9183  1 Ge 2.47, 3 V 2.70
Se3 0.3606 0.9183 0.3606  1 Ge 2.47, 3 V 2.70
Se4 0.3946 0.8685 0.8685  3 V 2.43
Se5 0.8685 0.3946 0.8685  3 V 2.43
Se6 0.8685 0.8685 0.3946  3 V 2.43
Se7 0.8685 0.8685 0.8685  3 V 2.43
Se8 0.9183 0.3606 0.3606  1 Ge 2.47, 3 V 2.70

Results
E_form (uncorrected) (eV per atom): -0.659
Volume (Å³ per cell): 268

# 11
First-principles (PBE) data for crystalline LaFe3Mo at its relaxed geometry, as listed in the Alexandria database.

a = 4.6123 Å, b = 4.6123 Å, c = 4.6123 Å
α = 90.00°, β = 90.00°, γ = 90.00°
Last column: nearest neighbours and their distance in Å.
Atoms (fractional coordinates):
La1 0.0000 0.0000 0.0000  12 Fe 3.26
Fe1 0.0000 0.5000 0.5000  2 Mo 2.31
Fe2 0.5000 0.0000 0.5000  2 Mo 2.31
Fe3 0.5000 0.5000 0.0000  2 Mo 2.31
Mo1 0.5000 0.5000 0.5000  6 Fe 2.31

Results
Relative energy among the computed polymorphs (meV/atom): 0
Volume (Å³ per cell): 98

# 12
First-principles (PBE) data for crystalline Tb2In5Pd3 at its relaxed geometry, as listed in the Alexandria database.

a = 13.5772 Å, b = 13.5772 Å, c = 7.2914 Å
α = 90.00°, β = 90.00°, γ = 160.87°
Last column: nearest neighbours and their distance in Å.
Atoms (fractional coordinates):
Tb1 0.0220 0.9780 0.5000  3 Pd 2.92-3.09, 2 In 3.26
Tb2 0.3248 0.6752 0.4215  4 Pd 3.15-3.44, 10 In 3.21-3.53
Tb3 0.6752 0.3248 0.9215  4 Pd 3.15-3.44, 10 In 3.21-3.53
Tb4 0.9780 0.0220 0.0000  3 Pd 2.92-3.09, 2 In 3.26
In1 0.0981 0.9019 0.1267  3 Pd 2.76-2.83, 1 In 3.00
In2 0.2068 0.7932 0.6240  4 Pd 2.75-2.78, 1 In 3.01
In3 0.2078 0.7922 0.2114  3 Pd 2.76, 2 In 3.00-3.01
In4 0.3759 0.6241 0.9757  4 Pd 2.81-3.00
In5 0.4468 0.5532 0.3323  4 Pd 2.74-2.85
In6 0.5532 0.4468 0.8323  4 Pd 2.74-2.85
In7 0.6241 0.3759 0.4757  4 Pd 2.81-3.00
In8 0.7922 0.2078 0.7114  3 Pd 2.76, 2 In 3.00-3.01
In9 0.7932 0.2068 0.1240  4 Pd 2.75-2.78, 1 In 3.01
In10 0.9019 0.0981 0.6267  3 Pd 2.76-2.83, 1 In 3.00
Pd1 0.1093 0.8907 0.7406  6 In 2.75-3.00, 1 Tb 2.92
Pd2 0.2723 0.7277 0.9157  7 In 2.76-2.81
Pd3 0.4553 0.5447 0.7222  5 In 2.74-2.85
Pd4 0.5447 0.4553 0.2222  5 In 2.74-2.85
Pd5 0.7277 0.2723 0.4157  7 In 2.76-2.81
Pd6 0.8907 0.1093 0.2406  6 In 2.75-3.00, 1 Tb 2.92

Results
E_tot (eV/atom): -4.4789
Volume (Å³ per cell): 440

Number 1: D(E_F) 1.0140 states/eV/atom. Number 2: D(E_F) 0.6360 states/eV/atom. Number 3: D(E_F) 0.4365 states/eV/atom. Number 4: D(E_F) 0.6496 states/eV/atom. Number 5: D(E_F) 1.5609 states/eV/atom. Number 6: D(E_F) 1.0816 states/eV/atom. Number 7: D(E_F) 0.4924 states/eV/atom. Number 8: D(E_F) 0.3953 states/eV/atom. Number 9: D(E_F) 0.9372 states/eV/atom. Number 10: D(E_F) 0.4433 states/eV/atom. Number 11: D(E_F) 2.1611 states/eV/atom. Number 12: D(E_F) 0.5084 states/eV/atom.